9
Lattice="-3.584 3.584 4.154 3.584 -3.584 4.154 3.584 3.584 -4.154" Properties=species:S:1:pos:R:3 comment="Rb2Te2H4Pt (PBE, optimized geometry)" volume_a3_per_atom=23.7 final_energy_ev_per_atom=-3.32 space_group="I4/mmm (139)" crystal_system=tetragonal pbc="T T T"
Rb 3.584 0.000 2.077
Rb 0.000 3.584 2.077
Te 0.000 0.000 1.439
Te 0.000 0.000 6.869
H 2.407 2.407 0.000
H 1.178 -1.178 4.154
H -1.178 1.178 4.154
H 1.178 1.178 4.154
Pt 0.000 0.000 4.154